No. 1
! BeTlCl2 PBE relaxed; values from VASP
&SYSTEM
  ibrav = 0, nat = 4, ntyp = 3
/
ATOMIC_SPECIES
Tl 204.38 Tl.upf
Be 9.01 Be.upf
Cl 35.45 Cl.upf
ATOMIC_POSITIONS crystal
Tl 0.2500 0.2500 0.2500
Be 0.5000 0.5000 0.5000
Cl 0.0000 0.0000 0.0000
Cl 0.7500 0.7500 0.7500
CELL_PARAMETERS angstrom
-4.0732 1.4117 -2.6854
-4.4540 -2.3294 0.7285
-3.8127 2.4652 2.2762
! SG: F-43m
! Crystal system: cubic
! DOS at the Fermi energy in states/eV per cell: 0.445
! Formation energy (no corrections) in eV/atom: 0.26
! Total magnetic moment in μB per formula unit: 0.967
! Density in Mg/m³: 5.10
! Excess energy over the best structure of this formula in the dataset in kJ per mole of atoms: 99.0


No. 2
! Ti4As2P PBE relaxed; values from VASP
&SYSTEM
  ibrav = 0, nat = 28, ntyp = 3
/
ATOMIC_SPECIES
As 74.92 As.upf
Ti 47.87 Ti.upf
P 30.97 P.upf
ATOMIC_POSITIONS crystal
As 0.7500 0.1197 0.0896
As 0.2500 0.9225 0.4051
As 0.2500 0.3803 0.5896
As 0.7500 0.5775 0.9051
As 0.7500 0.6197 0.4104
As 0.7500 0.0775 0.5949
As 0.2500 0.8803 0.9104
As 0.2500 0.4225 0.0949
Ti 0.7500 0.9972 0.2773
Ti 0.7500 0.3380 0.9660
Ti 0.7500 0.8380 0.5340
Ti 0.2500 0.2279 0.2125
Ti 0.7500 0.0642 0.8977
Ti 0.2500 0.0028 0.7227
Ti 0.2500 0.6620 0.0340
Ti 0.2500 0.4358 0.3977
Ti 0.7500 0.4972 0.2227
Ti 0.2500 0.1620 0.4660
Ti 0.2500 0.5028 0.7773
Ti 0.7500 0.5642 0.6023
Ti 0.7500 0.2721 0.7125
Ti 0.2500 0.7279 0.2875
Ti 0.2500 0.9358 0.1023
Ti 0.7500 0.7721 0.7875
P 0.2500 0.2330 0.8430
P 0.7500 0.2670 0.3430
P 0.2500 0.7330 0.6570
P 0.7500 0.7670 0.1570
CELL_PARAMETERS angstrom
-0.6915 -0.6701 3.4398
5.3281 -8.4229 -0.5697
10.6132 6.4838 3.3965
! SG: Pnma
! Crystal system: orthorhombic
! DOS at the Fermi energy in states/eV per cell: 26.228
! E_tot in eV per atom: -7.5475
! Total magnetic moment in μB per formula unit: 0.000
! Density in Mg/m³: 5.38


Copy entry 2 word for word.
! Ti4As2P PBE relaxed; values from VASP
&SYSTEM
  ibrav = 0, nat = 28, ntyp = 3
/
ATOMIC_SPECIES
As 74.92 As.upf
Ti 47.87 Ti.upf
P 30.97 P.upf
ATOMIC_POSITIONS crystal
As 0.7500 0.1197 0.0896
As 0.2500 0.9225 0.4051
As 0.2500 0.3803 0.5896
As 0.7500 0.5775 0.9051
As 0.7500 0.6197 0.4104
As 0.7500 0.0775 0.5949
As 0.2500 0.8803 0.9104
As 0.2500 0.4225 0.0949
Ti 0.7500 0.9972 0.2773
Ti 0.7500 0.3380 0.9660
Ti 0.7500 0.8380 0.5340
Ti 0.2500 0.2279 0.2125
Ti 0.7500 0.0642 0.8977
Ti 0.2500 0.0028 0.7227
Ti 0.2500 0.6620 0.0340
Ti 0.2500 0.4358 0.3977
Ti 0.7500 0.4972 0.2227
Ti 0.2500 0.1620 0.4660
Ti 0.2500 0.5028 0.7773
Ti 0.7500 0.5642 0.6023
Ti 0.7500 0.2721 0.7125
Ti 0.2500 0.7279 0.2875
Ti 0.2500 0.9358 0.1023
Ti 0.7500 0.7721 0.7875
P 0.2500 0.2330 0.8430
P 0.7500 0.2670 0.3430
P 0.2500 0.7330 0.6570
P 0.7500 0.7670 0.1570
CELL_PARAMETERS angstrom
-0.6915 -0.6701 3.4398
5.3281 -8.4229 -0.5697
10.6132 6.4838 3.3965
! SG: Pnma
! Crystal system: orthorhombic
! DOS at the Fermi energy in states/eV per cell: 26.228
! E_tot in eV per atom: -7.5475
! Total magnetic moment in μB per formula unit: 0.000
! Density in Mg/m³: 5.38